DFT (PBE) results for an optimized crystal structure of HfZrCd2.

```
HfZrCd2
1.0
3.070 0.000 0.000
1.535 2.659 0.000
1.535 0.886 10.689
Hf Zr Cd
1 1 2
Direct
0.667 0.667 0.999 Hf
0.500 0.500 0.501 Zr
0.083 0.083 0.751 Cd
0.250 0.250 0.249 Cd
```

Computed properties:
E_form: 13.8 kJ/mol of formula units
space group: R3m

DFT (PBE) results for an optimized crystal structure of HfZrCd2.

```
HfZrCd2
1.0
-2.240 1.980 0.732
-1.995 -1.646 -1.669
-2.057 -5.092 7.483
Hf Zr Cd
1 1 2
Direct
0.000 0.000 0.496 Hf
0.500 0.500 0.256 Zr
0.000 0.000 0.998 Cd
0.500 0.500 0.750 Cd
```

Computed properties:
E_form: -36.1 kJ/mol of formula units
space group: P4mm

DFT (PBE) results for an optimized crystal structure of HfZr3Cd.

```
HfZr3Cd
1.0
-1.550 -2.836 -3.052
4.551 -5.111 2.439
-4.974 -2.116 4.491
Hf Zr Cd
2 6 2
Direct
0.250 0.852 0.060 Hf
0.750 0.148 0.940 Hf
0.750 0.550 0.152 Zr
0.250 0.253 0.236 Zr
0.750 0.971 0.345 Zr
0.250 0.450 0.848 Zr
0.250 0.029 0.655 Zr
0.750 0.747 0.764 Zr
0.750 0.350 0.550 Cd
0.250 0.650 0.450 Cd
```

Computed properties:
E_form: -16.9 kJ/mol of formula units
space group: P2_1/m
energy relative to the lowest polymorph listed for this composition: 0.004 eV per atom

DFT (PBE) results for an optimized crystal structure of Hf2Zr2Cd.

```
Hf2Zr2Cd
1.0
5.609 0.000 0.000
0.000 5.924 -0.189
-2.804 -1.732 6.808
Hf Zr Cd
4 4 2
Direct
0.185 0.955 0.200 Hf
0.985 0.545 0.800 Hf
0.815 0.045 0.800 Hf
0.015 0.455 0.200 Hf
0.800 0.159 0.392 Zr
0.592 0.659 0.392 Zr
0.200 0.841 0.608 Zr
0.408 0.341 0.608 Zr
0.587 0.750 0.000 Cd
0.413 0.250 0.000 Cd
```

Computed properties:
E_form: 5.1 kJ/mol of formula units
space group: C2/c
energy relative to the lowest polymorph listed for this composition: 0.000 eV per atom